DFT (meta-GGA SCAN) results for Li4Mn3Nb2Cu3O16 at its PBEsol-relaxed geometry.

Cell and atoms, written as extended XYZ:
```
28
Lattice="5.781 -0.039 0.001 2.773 5.070 -0.031 0.046 0.375 9.620" Properties=species:S:1:pos:R:3 pbc="T T T"
O 5.728 3.658 5.893
O 4.213 4.210 0.932
O 4.307 3.118 8.071
O 7.202 3.952 0.855
O 2.834 5.333 7.713
O 1.527 0.935 5.667
O 4.409 0.985 5.766
O 7.047 3.002 8.027
O 3.110 0.330 3.448
O 8.521 5.104 2.829
O 2.871 1.769 1.128
O 5.561 1.604 0.640
O 1.571 2.598 3.259
O 5.729 5.193 7.931
O 2.818 3.666 5.840
O 4.044 2.908 3.388
Mn 7.156 4.428 6.864
Mn 4.282 4.463 6.853
Mn 2.801 3.399 2.111
Li 2.835 2.063 8.694
Li 5.787 3.562 3.861
Li 2.831 5.219 4.647
Li 2.811 5.339 9.528
Cu 1.450 0.907 2.039
Cu 4.313 0.900 1.998
Cu 5.773 1.957 6.872
Nb 2.976 1.762 4.686
Nb 5.688 3.692 9.551
```

Computed properties:
The symmetry is P1. The value obtained for the raw formation energy is -2055 meV per atom. The volume is 10.1 Å³/atom. The total magnetic moment comes out at 11.926 μB/cell.

***

DFT (meta-GGA SCAN) results for Li5Mn2Cu3O10 at its PBEsol-relaxed geometry.

Cell and atoms, written as extended XYZ:
```
20
Lattice="-4.385 -0.083 -2.319 -1.129 -1.285 4.956 1.652 7.278 0.267" Properties=species:S:1:pos:R:3 pbc="T T T"
Li -1.931 2.955 1.452
Li -1.277 1.710 4.111
Li -2.586 4.199 -1.207
Li -0.790 5.345 0.684
Li -3.073 0.564 2.220
O -2.001 2.247 -0.580
O -3.818 2.390 1.431
O -1.861 3.662 3.484
O -3.131 0.045 0.158
O -0.731 5.864 2.746
O -2.738 4.796 0.709
O -1.125 1.113 2.194
O 1.099 6.053 0.189
O -4.962 -0.144 2.715
O -0.045 3.519 1.473
Cu -1.288 0.569 -0.098
Cu -2.575 5.341 3.002
Cu -0.565 -0.643 2.478
Mn -3.796 1.743 -0.404
Mn -0.067 4.166 3.308
```

Computed properties:
The symmetry is P-1. The value obtained for the raw formation energy is -1777 meV per atom. The volume is 8.7 Å³/atom. The total magnetic moment comes out at 4.028 μB/cell.

***

DFT (meta-GGA SCAN) results for LiMnCuO4 at its PBEsol-relaxed geometry.

Cell and atoms, written as extended XYZ:
```
14
Lattice="5.666 0.000 0.000 -2.833 5.040 -0.034 0.000 -3.300 4.765" Properties=species:S:1:pos:R:3 pbc="T T T"
O 2.833 0.183 3.424
O 4.357 -0.666 1.301
O -1.524 2.405 3.429
O 0.000 1.557 1.306
O 0.000 0.120 3.381
O 1.524 2.405 3.429
O 2.833 1.620 1.350
O 1.309 -0.666 1.301
Mn -1.416 0.870 2.365
Mn 1.416 0.870 2.365
Cu 0.000 -1.650 2.382
Cu 0.000 0.000 0.000
Li 2.833 -1.656 4.141
Li 0.000 3.395 0.589
```

Computed properties:
The symmetry is Imma. The value obtained for the raw formation energy is -1721 meV per atom. The volume is 9.7 Å³/atom. The total magnetic moment comes out at 2.000 μB/cell.

***

DFT (meta-GGA SCAN) results for Li2Mn5Cu2O12 at its PBEsol-relaxed geometry.

Cell and atoms, written as extended XYZ:
```
42
Lattice="-1.034 -1.562 -4.926 1.457 -8.037 2.243 -8.585 -0.625 3.337" Properties=species:S:1:pos:R:3 pbc="T T T"
O -4.493 -5.360 2.925
O -2.345 -8.220 1.411
O -4.006 -7.883 3.529
O -6.742 -6.986 3.001
O -7.949 -1.866 1.085
O -0.186 -6.368 1.188
O -7.985 -3.804 -0.548
O -7.413 -4.580 1.863
O -0.406 -3.501 0.869
O -2.938 -7.438 -1.174
O -2.912 -5.694 0.572
O -7.286 -9.312 0.508
O -7.775 -6.692 -0.151
O -5.696 -2.064 -0.606
O -5.074 -7.359 0.431
O -5.261 -2.574 1.769
O -5.329 -4.693 -0.007
O -0.251 -8.388 -0.443
O -4.104 -2.463 -2.941
O -0.703 -5.650 -1.187
O -3.683 -4.945 -2.149
O -0.861 -0.912 0.073
O -3.132 -2.621 0.155
O -1.450 -3.069 -2.395
Li -5.942 -5.962 1.450
Li -3.792 -8.881 0.091
Li -3.872 -4.087 1.329
Li -2.678 -1.731 -1.502
Cu -8.280 -3.002 2.687
Cu 0.125 -7.256 -2.024
Cu -4.821 -3.556 -1.481
Cu -3.329 -6.735 2.154
Mn -4.446 -1.320 0.650
Mn -7.484 -8.427 4.139
Mn 0.558 -5.033 0.104
Mn -6.493 -3.229 0.603
Mn -1.856 -2.227 1.400
Mn -1.672 -6.974 0.045
Mn -9.219 -2.433 -0.221
Mn -0.178 -4.551 -2.717
Mn -4.217 -6.138 -0.768
Mn -6.289 -8.086 -0.721
```

Computed properties:
The symmetry is P2_1. The value obtained for the raw formation energy is -1847 meV per atom. The volume is 9.7 Å³/atom. The total magnetic moment comes out at 34.000 μB/cell. As for the density of states at the Fermi level: 0.173 states/eV per atom.

***

DFT (meta-GGA SCAN) results for Li3Mn5Cu2O12 at its PBEsol-relaxed geometry.

Cell and atoms, written as extended XYZ:
```
22
Lattice="5.001 0.015 -0.006 -2.327 4.426 -0.006 -0.709 -1.178 9.318" Properties=species:S:1:pos:R:3 pbc="T T T"
O 1.427 4.090 1.042
O -0.059 1.152 5.634
O 2.638 0.001 5.808
O 1.631 1.444 8.253
O 1.452 1.147 1.052
O 0.919 2.777 3.671
O 3.198 0.932 3.497
O -0.705 2.753 1.227
O -0.981 0.088 8.264
O -0.798 2.598 8.078
O 2.393 2.619 5.752
O 0.770 -0.077 3.554
Cu 3.070 1.178 -0.006
Cu -0.919 2.776 4.653
Mn 0.755 2.571 -0.006
Mn -1.680 1.360 7.054
Mn -0.024 4.112 2.252
Mn 1.595 1.263 4.653
Mn 4.126 -0.260 4.653
Li 0.868 2.916 7.103
Li -1.738 4.072 -0.006
Li -0.206 1.132 2.202
```

Computed properties:
The symmetry is C2. The value obtained for the raw formation energy is -1901 meV per atom. The volume is 9.4 Å³/atom. The total magnetic moment comes out at 18.004 μB/cell. As for the density of states at the Fermi level: 0.075 states/eV per atom.

***

DFT (meta-GGA SCAN) results for Li5Mn3CuP4O16 at its PBEsol-relaxed geometry.

Cell and atoms, written as extended XYZ:
```
29
Lattice="4.803 0.036 -0.031 0.019 6.158 -0.047 -0.268 -0.514 10.432" Properties=species:S:1:pos:R:3 pbc="T T T"
O 3.163 1.117 10.026
O 1.295 1.367 1.015
O 1.293 4.482 0.403
O 3.249 4.146 9.589
O 1.118 5.325 8.748
O 3.333 2.664 1.912
O 1.029 3.115 3.488
O 3.514 0.237 1.662
O 3.559 2.698 6.753
O 3.721 4.487 4.002
O 3.518 0.234 6.942
O 1.248 2.823 8.640
O 1.128 5.603 3.379
O 3.772 1.265 4.671
O 0.929 1.347 6.334
O 0.971 4.503 5.598
Li 2.849 2.761 3.969
Li 1.634 3.135 6.726
Li 4.448 2.656 10.054
Li 4.503 5.570 10.274
Li 2.442 5.867 5.079
P 0.454 4.403 4.152
P 2.821 1.491 1.012
P 1.731 4.070 9.439
P 4.207 1.420 6.164
Mn 1.993 0.895 8.251
Mn 2.541 4.630 2.036
Mn 0.220 1.270 2.885
Cu 4.010 4.539 7.030
```

Computed properties:
The symmetry is P1. The value obtained for the raw formation energy is -2373 meV per atom. The volume is 10.6 Å³/atom. The total magnetic moment comes out at 14.956 μB/cell. As for the density of states at the Fermi level: 0.000 states/eV per atom.